# 1
Material: TlSi2Br
Method: DFT, PBE
State: relaxed

Cell and atoms, written as POSCAR:
```
TlSi2Br
1.0
3.268 0.000 0.000
0.000 5.270 0.000
0.000 0.000 5.301
Tl Si Br
1 2 1
direct
0.000 0.000 0.000 Tl
0.000 0.500 0.500 Si
0.500 0.500 0.000 Si
0.500 0.000 0.500 Br
```

Output
Offset from the most stable computed form ... 0.5568 eV per atom
ΔE_f (raw) ... 0.543 eV/atom
Final energy ... -12.7 eV/cell

# 2
Material: TlSiBr
Method: DFT, PBE
State: relaxed

Cell and atoms, written as POSCAR:
```
TlSiBr
1.0
3.384 0.000 0.000
0.000 6.046 0.000
0.000 0.000 15.474
Tl Si Br
4 4 4
direct
0.000 0.000 0.000 Tl
0.000 0.500 0.500 Tl
0.500 0.000 0.500 Tl
0.500 0.500 0.000 Tl
0.000 0.000 0.332 Si
0.000 0.500 0.832 Si
0.500 0.000 0.832 Si
0.500 0.500 0.332 Si
0.000 0.000 0.704 Br
0.000 0.500 0.204 Br
0.500 0.000 0.204 Br
0.500 0.500 0.704 Br
```

Output
Offset from the most stable computed form ... 0.4933 eV per atom
ΔE_f (raw) ... 0.295 eV/atom
Final energy ... -34.3 eV/cell